Record 1
A plane-wave DFT calculation with PBE was carried out for crystalline SrAcGeCl at its relaxed geometry.

```
SrAcGeCl
1.0
6.241 0.000 0.000
0.000 2.669 4.686
0.000 -2.669 4.686
Sr Ac Ge Cl
1 1 1 1
Direct
0.000 0.000 0.000
0.500 0.669 0.669
0.500 0.000 0.000
0.000 0.669 0.669
```

Results
- E above lowest polymorph: 0 meV/atom
- Total energy: -16.7 eV per cell
- DOS at the Fermi energy: 1.1 states/eV/f.u.
- Raw formation energy: -429 kJ/mol of formula units

Record 2
A plane-wave DFT calculation with PBE was carried out for crystalline SrMg2P at its relaxed geometry.

```
SrMg2P
1.0
2.620 -2.624 0.000
2.620 2.624 0.000
0.000 0.000 7.190
Sr Mg P
1 2 1
Direct
0.000 0.000 0.000
0.000 0.000 0.423
0.500 0.500 0.649
0.500 0.500 0.274
```

Results
- DFT formation energy: -335 meV per atom
- Total energy: -11.6 eV per cell
- DOS at the Fermi energy: 1.8 states/eV/f.u.

Record 3
A plane-wave DFT calculation with PBE was carried out for crystalline LiHoTl6 at its relaxed geometry.

```
LiHoTl6
1.0
4.729 -4.730 0.000
4.729 4.730 0.000
0.000 0.000 4.824
Li Ho Tl
1 1 6
Direct
0.000 0.000 0.000
0.500 0.500 0.000
0.000 0.500 0.000
0.246 0.754 0.500
0.248 0.248 0.500
0.500 0.000 0.000
0.752 0.752 0.500
0.754 0.246 0.500
```

Results
- DFT formation energy: -110 meV per atom
- E above lowest polymorph: 0 meV/atom
- Total energy: -21.6 eV per cell
- DOS at the Fermi energy: 4.4 states/eV/f.u.

Record 4
A plane-wave DFT calculation with PBE was carried out for crystalline NdDy4Ho4 at its relaxed geometry.

```
NdDy4Ho4
1.0
6.713 0.000 0.000
1.826 8.240 0.000
2.932 -0.642 10.434
Nd Dy Ho
2 8 8
Direct
0.221 0.029 0.214
0.779 0.971 0.786
0.112 0.638 0.564
0.444 0.309 0.009
0.445 0.309 0.343
0.446 0.305 0.675
0.554 0.695 0.325
0.555 0.691 0.657
0.556 0.691 0.991
0.888 0.362 0.436
0.107 0.639 0.232
0.111 0.638 0.898
0.223 0.028 0.879
0.224 0.029 0.547
0.776 0.971 0.453
0.777 0.972 0.121
0.889 0.362 0.102
0.893 0.361 0.768
```

Results
- DFT formation energy: 10 meV per atom
- Total energy: -82.8 eV per cell
- DOS at the Fermi energy: 16.0 states/eV/f.u.

Record 5
A plane-wave DFT calculation with PBE was carried out for crystalline SiSb4Mo at its relaxed geometry.

```
SiSb4Mo
1.0
0.000 4.309 4.309
4.309 0.000 4.309
4.309 4.309 0.000
Si Sb Mo
1 4 1
Direct
0.000 0.000 0.000
0.375 0.375 0.375
0.375 0.375 0.875
0.375 0.875 0.375
0.875 0.375 0.375
0.750 0.750 0.750
```

Results
- Total energy: -26.2 eV per cell
- DOS at the Fermi energy: 4.0 states/eV/f.u.
- Raw formation energy: 636 kJ/mol of formula units

Record 6
A plane-wave DFT calculation with PBE was carried out for crystalline GdSc3B at its relaxed geometry.

```
GdSc3B
1.0
4.833 0.000 0.000
0.000 4.833 0.000
0.000 0.000 4.833
Gd Sc B
1 3 1
Direct
0.000 0.000 0.000
0.000 0.500 0.500
0.500 0.000 0.500
0.500 0.500 0.000
0.500 0.500 0.500
```

Results
- DFT formation energy: -26 meV per atom
- Total energy: -39.9 eV per cell
- DOS at the Fermi energy: 6.7 states/eV/f.u.

Record 7
A plane-wave DFT calculation with PBE was carried out for crystalline Li3Ca2Sn4 at its relaxed geometry.

```
Li3Ca2Sn4
1.0
3.221 -8.320 0.000
3.221 8.320 0.000
0.000 0.000 8.064
Li Ca Sn
6 4 8
Direct
0.000 0.000 0.000
0.014 0.486 0.250
0.486 0.014 0.750
0.500 0.500 0.500
0.514 0.986 0.250
0.986 0.514 0.750
0.105 0.895 0.400
0.395 0.605 0.900
0.605 0.395 0.100
0.895 0.105 0.600
0.175 0.825 0.003
0.187 0.313 0.250
0.313 0.187 0.750
0.325 0.675 0.503
0.675 0.325 0.497
0.687 0.813 0.250
0.813 0.687 0.750
0.825 0.175 0.997
```

Results
- DFT formation energy: -451 meV per atom
- Total energy: -59.6 eV per cell
- DOS at the Fermi energy: 3.6 states/eV/f.u.

Record 8
A plane-wave DFT calculation with PBE was carried out for crystalline DyClO at its relaxed geometry.

```
DyClO
1.0
1.910 1.103 9.943
-1.910 1.103 9.943
0.000 -2.205 9.943
Dy Cl O
2 2 2
Direct
0.215 0.215 0.215
0.785 0.785 0.785
0.394 0.394 0.394
0.606 0.606 0.606
0.138 0.138 0.138
0.862 0.862 0.862
```

Results
- Total energy: -41.5 eV per cell
- DOS at the Fermi energy: 0.0 states/eV/f.u.
- Raw formation energy: -904 kJ/mol of formula units

Record 9
A plane-wave DFT calculation with PBE was carried out for crystalline Ac5PuTl6 at its relaxed geometry.

```
Ac5PuTl6
1.0
9.163 -4.068 0.000
9.163 4.068 0.000
-1.830 0.000 5.501
Ac Pu Tl
5 1 6
Direct
0.000 0.000 0.000
0.166 0.166 0.666
0.332 0.332 0.331
0.668 0.668 0.669
0.834 0.834 0.334
0.500 0.500 0.000
0.094 0.581 0.836
0.262 0.738 0.500
0.419 0.906 0.164
0.581 0.094 0.836
0.738 0.262 0.500
0.906 0.419 0.164
```

Results
- DFT formation energy: -274 meV per atom
- Total energy: -52.4 eV per cell
- DOS at the Fermi energy: 20.4 states/eV/f.u.

Record 10
A plane-wave DFT calculation with PBE was carried out for crystalline BaNiC2Cl at its relaxed geometry.

```
BaNiC2Cl
1.0
3.955 0.000 0.000
0.000 3.955 0.000
0.000 0.000 6.353
Ba Ni C Cl
1 1 2 1
Direct
0.000 0.000 0.000
0.000 0.000 0.500
0.000 0.500 0.500
0.500 0.000 0.500
0.500 0.500 0.000
```

Results
- Total energy: -24.2 eV per cell
- DOS at the Fermi energy: 1.3 states/eV/f.u.
- Raw formation energy: 364 kJ/mol of formula units

Record 11
A plane-wave DFT calculation with PBE was carried out for crystalline GeRh2Se at its relaxed geometry.

```
GeRh2Se
1.0
-2.630 2.630 6.058
2.630 -2.630 6.058
2.630 2.630 -6.058
Ge Rh Se
2 4 2
Direct
0.000 0.000 0.000
0.750 0.250 0.500
0.125 0.625 0.000
0.375 0.375 0.500
0.625 0.125 0.000
0.875 0.875 0.500
0.250 0.750 0.500
0.500 0.500 0.000
```

Results
- E above lowest polymorph: 0 meV/atom
- Total energy: -46.4 eV per cell
- DOS at the Fermi energy: 2.0 states/eV/f.u.
- Raw formation energy: -36 kJ/mol of formula units

Record 12
A plane-wave DFT calculation with PBE was carried out for crystalline Ca4ZnGa at its relaxed geometry.

```
Ca4ZnGa
1.0
3.694 -3.694 0.000
3.694 3.694 0.000
-0.017 0.000 7.330
Ca Zn Ga
4 1 1
Direct
0.000 0.500 0.241
0.000 0.500 0.759
0.500 0.000 0.241
0.500 0.000 0.759
0.000 0.000 0.500
0.500 0.500 0.000
```

Results
- DFT formation energy: -122 meV per atom
- E above lowest polymorph: 126 meV/atom
- Total energy: -13.0 eV per cell
- DOS at the Fermi energy: 9.5 states/eV/f.u.